A relaxed MnGe2MoO8 crystal. Source: Alexandria, functional GGA+U.

The calculation puts the total energy at -6.7292 eV/atom. Its space-group type is No. 119.

Cell lengths 5.609, 5.609, 5.609 Å; angles 108.62, 108.62, 111.19 degrees
Atoms (fractional coordinates):
Mn: 0.000 0.000 0.000
Ge: 0.500 0.500 0.000
Ge: 0.750 0.250 0.500
Mo: 0.250 0.750 0.500
O: 0.314 0.115 0.802
O: 0.314 0.512 0.198
O: 0.359 0.044 0.315
O: 0.488 0.686 0.802
O: 0.729 0.044 0.685
O: 0.885 0.686 0.198
O: 0.956 0.271 0.315
O: 0.956 0.641 0.685